PBE-GGA BaTlW4, optimized geometry; ρ = 14.17 g/cm3; DFT formation energy = 1.069 eV per atom
1.0
0.0000 3.9812 3.9812
3.9812 0.0000 3.9812
3.9812 3.9812 0.0000
W Tl Ba
4 1 1
direct
0.3768 0.8695 0.3768
0.3768 0.3768 0.3768
0.8695 0.3768 0.3768
0.3768 0.3768 0.8695
0.0000 0.0000 0.0000
0.7500 0.7500 0.7500

***

PBE-GGA Dy6Pt5Rh, optimized geometry; ρ = 13.45 g/cm3; DFT formation energy = -1.169 eV per atom
1.0
-3.7655 -1.8102 -2.5947
1.3912 -5.4330 6.4325
-1.8429 8.1707 1.6351
Rh Dy Pt
1 6 5
direct
0.0000 0.0000 0.0000
0.7506 0.9165 0.5847
0.7506 0.5847 0.9165
0.2494 0.0835 0.4153
0.7492 0.2492 0.2492
0.2508 0.7508 0.7508
0.2494 0.4153 0.0835
0.5000 0.5000 0.5000
0.5000 0.1627 0.8373
0.0000 0.3311 0.6689
0.5000 0.8373 0.1627
0.0000 0.6689 0.3311

***

PBE-GGA ZrSbMo2, optimized geometry; ρ = 8.66 g/cm3; formation energy from raw total energies = 0.12 eV/atom
1.0
-2.0525 -3.2734 -2.8579
-0.4515 -1.8477 2.4406
-4.6915 2.0817 0.9851
Mo Sb Zr
2 1 1
direct
0.0000 0.3992 0.5282
0.0000 0.1008 0.9718
0.5000 0.2500 0.2500
0.5000 0.7500 0.7500

***

PBE-GGA RbRu2W, optimized geometry; ρ = 11.09 g/cm3; DFT formation energy = 1.544 eV per atom
1.0
-0.0456 -1.9275 4.2194
0.6479 2.6365 3.7616
-3.5336 0.8269 2.8897
Ru W Rb
2 1 1
direct
0.2500 0.2500 0.2500
0.7500 0.7500 0.7500
0.5000 0.5000 0.5000
0.0000 0.0000 0.0000

***

PBE-GGA CaSnAs3, optimized geometry; ρ = 4.22 g/cm3; DFT formation energy = 0.625 eV per atom
1.0
-1.5424 4.0155 -3.1409
1.2205 -2.8952 -4.3008
-4.9497 -1.9652 -0.0817
Ca As Sn
1 3 1
direct
0.0000 0.0000 0.0000
0.0000 0.5000 0.0000
0.0000 0.0000 0.5000
0.5000 0.0000 0.0000
0.5000 0.5000 0.5000

***

PBE-GGA LiPaGe2Ir2, optimized geometry; ρ = 12.32 g/cm3; DFT formation energy = -0.630 eV per atom
1.0
4.2917 0.0000 0.0000
-2.1458 3.7167 0.0000
0.0000 0.0000 6.4882
Ge Pa Ir Li
2 1 2 1
direct
0.3333 0.6667 0.3201
0.6667 0.3333 0.6799
0.0000 0.0000 0.0000
0.3333 0.6667 0.7383
0.6667 0.3333 0.2617
0.0000 0.0000 0.5000